# 1
EuBiPt4: optimized geometry, PBE.

Output
Energy of formation = -578 meV/atom
SG = F-43m, No. 216
Total magnetization = 6.65 μB/f.u.

a b c (Å): 5.4967 5.4967 5.4967
angles (deg): 60.00 60.00 60.00
Atoms (fractional coordinates):
Pt 0.1252 0.6249 0.6249
Pt 0.6249 0.1252 0.6249
Pt 0.6249 0.6249 0.1252
Pt 0.6249 0.6249 0.6249
Bi 0.0000 0.0000 0.0000
Eu 0.2500 0.2500 0.2500



# 2
Na2CrMoRh: optimized geometry, PBE.

Output
Energy of formation = 1618 meV/atom
SG = P4/mmm, No. 123
Total magnetization = 1.05 μB/f.u.

a b c (Å): 5.0161 4.4577 5.0161
angles (deg): 90.00 90.00 90.00
Atoms (fractional coordinates):
Na 0.0000 0.0000 0.5000
Na 0.5000 0.0000 0.0000
Mo 0.0000 0.5000 0.0000
Rh 0.5000 0.5000 0.5000
Cr 0.0000 0.0000 0.0000



Among the records above, which one has the highest energy of formation?
Na2CrMoRh